No. 1
Below is YRh2Br after structural relaxation, with properties calculated at the PBE level.

Output
The energy relative to the elements, uncorrected comes out at -0.0466 eV/atom. The value obtained for the theoretical density is 8.3 g cm⁻³. The calculation puts the energy above the lowest structure with this stoichiometry at 0.379 eV per atom. Its energy is -5.757 eV per atom.

Unit cell a=6.697 b=6.697 c=6.697 alpha=90.00 beta=90.00 gamma=90.00
Element x y z (fractional)
Y 0.000 0.000 0.000
Y 0.000 0.500 0.500
Y 0.500 0.000 0.500
Y 0.500 0.500 0.000
Rh 0.250 0.250 0.250
Rh 0.250 0.250 0.750
Rh 0.250 0.750 0.250
Rh 0.250 0.750 0.750
Rh 0.750 0.250 0.250
Rh 0.750 0.250 0.750
Rh 0.750 0.750 0.250
Rh 0.750 0.750 0.750
Br 0.000 0.000 0.500
Br 0.000 0.500 0.000
Br 0.500 0.000 0.000
Br 0.500 0.500 0.500



No. 2
Below is Y4RhBr after structural relaxation, with properties calculated at the PBE level.

Output
The energy relative to the elements, uncorrected comes out at 0.5204 eV/atom. The value obtained for the theoretical density is 5.2 g cm⁻³. Its energy is -5.293 eV per atom.

Unit cell a=6.237 b=6.237 c=6.237 alpha=60.00 beta=60.00 gamma=60.00
Element x y z (fractional)
Y 0.377 0.377 0.377
Y 0.377 0.377 0.870
Y 0.377 0.870 0.377
Y 0.870 0.377 0.377
Rh 0.750 0.750 0.750
Br 0.000 0.000 0.000



No. 3
Below is Y2RhBr2 after structural relaxation, with properties calculated at the PBE level.

Output
The energy relative to the elements, uncorrected comes out at -1.3078 eV/atom. The value obtained for the theoretical density is 4.8 g cm⁻³. Its energy is -6.033 eV per atom.

Unit cell a=6.885 b=3.974 c=11.445 alpha=90.00 beta=102.70 gamma=90.00
Element x y z (fractional)
Y 0.219 0.000 0.144
Y 0.281 0.500 0.856
Y 0.719 0.500 0.144
Y 0.781 0.000 0.856
Rh 0.000 0.500 0.000
Rh 0.500 0.000 0.000
Br 0.051 0.000 0.685
Br 0.449 0.500 0.315
Br 0.551 0.500 0.685
Br 0.949 0.000 0.315



No. 4
Below is YRh2Br after structural relaxation, with properties calculated at the PBE level.

Output
The energy relative to the elements, uncorrected comes out at -0.1416 eV/atom. The value obtained for the theoretical density is 7.8 g cm⁻³. The calculation puts the energy above the lowest structure with this stoichiometry at 0.284 eV per atom. Its energy is -5.852 eV per atom.

Unit cell a=4.029 b=4.029 c=19.637 alpha=90.00 beta=90.00 gamma=90.00
Element x y z (fractional)
Y 0.000 0.000 0.000
Y 0.000 0.500 0.250
Y 0.500 0.000 0.750
Y 0.500 0.500 0.500
Rh 0.226 0.250 0.125
Rh 0.250 0.726 0.375
Rh 0.250 0.774 0.875
Rh 0.274 0.250 0.625
Rh 0.726 0.750 0.625
Rh 0.750 0.226 0.875
Rh 0.750 0.274 0.375
Rh 0.774 0.750 0.125
Br 0.000 0.000 0.500
Br 0.000 0.500 0.750
Br 0.500 0.000 0.250
Br 0.500 0.500 0.000



No. 5
Below is YRh2Br after structural relaxation, with properties calculated at the PBE level.

Output
The energy relative to the elements, uncorrected comes out at -0.1622 eV/atom. The value obtained for the theoretical density is 8.1 g cm⁻³. The calculation puts the energy above the lowest structure with this stoichiometry at 0.263 eV per atom. Its energy is -5.872 eV per atom.

Unit cell a=3.304 b=3.963 c=5.831 alpha=90.00 beta=90.00 gamma=90.00
Element x y z (fractional)
Y 0.000 0.000 0.000
Rh 0.500 0.500 0.246
Rh 0.500 0.500 0.754
Br 0.000 0.000 0.500



No. 6
Below is YRh2Br after structural relaxation, with properties calculated at the PBE level.

Output
The energy relative to the elements, uncorrected comes out at -0.4199 eV/atom. The value obtained for the theoretical density is 6.9 g cm⁻³. The calculation puts the energy above the lowest structure with this stoichiometry at 0.005 eV per atom. Its energy is -6.130 eV per atom.

Unit cell a=3.484 b=3.484 c=7.456 alpha=90.00 beta=90.00 gamma=90.00
Element x y z (fractional)
Y 0.000 0.000 0.000
Rh 0.000 0.000 0.649
Rh 0.500 0.500 0.758
Br 0.500 0.500 0.239



No. 7
Below is ZnRhBr after structural relaxation, with properties calculated at the PBE level.

Output
The energy relative to the elements, uncorrected comes out at 0.3323 eV/atom. The value obtained for the theoretical density is 7.7 g cm⁻³. The calculation puts the energy above the lowest structure with this stoichiometry at 0.208 eV per atom. Its energy is -3.101 eV per atom.

Unit cell a=4.359 b=4.359 c=3.249 alpha=90.00 beta=90.00 gamma=120.00
Element x y z (fractional)
Zn 0.000 0.000 0.000
Rh 0.333 0.667 0.604
Br 0.667 0.333 0.487



No. 8
Below is ZnRhBr after structural relaxation, with properties calculated at the PBE level.

Output
The energy relative to the elements, uncorrected comes out at 0.1425 eV/atom. The value obtained for the theoretical density is 6.7 g cm⁻³. The calculation puts the energy above the lowest structure with this stoichiometry at 0.018 eV per atom. Its energy is -3.290 eV per atom.

Unit cell a=10.395 b=3.197 c=7.442 alpha=90.00 beta=90.00 gamma=90.00
Element x y z (fractional)
Zn 0.000 0.000 0.000
Zn 0.000 0.500 0.500
Zn 0.500 0.000 0.035
Zn 0.500 0.500 0.535
Rh 0.128 0.000 0.288
Rh 0.128 0.500 0.788
Rh 0.872 0.000 0.288
Rh 0.872 0.500 0.788
Br 0.313 0.000 0.755
Br 0.313 0.500 0.255
Br 0.687 0.000 0.755
Br 0.687 0.500 0.255



No. 9
Below is ZnRhBr after structural relaxation, with properties calculated at the PBE level.

Output
The energy relative to the elements, uncorrected comes out at 0.5223 eV/atom. The value obtained for the theoretical density is 7.0 g cm⁻³. The calculation puts the energy above the lowest structure with this stoichiometry at 0.398 eV per atom. Its energy is -2.910 eV per atom.

Unit cell a=6.183 b=6.183 c=6.183 alpha=90.00 beta=90.00 gamma=90.00
Element x y z (fractional)
Zn 0.000 0.000 0.000
Zn 0.000 0.500 0.500
Zn 0.500 0.000 0.500
Zn 0.500 0.500 0.000
Rh 0.250 0.250 0.750
Rh 0.250 0.750 0.250
Rh 0.750 0.250 0.250
Rh 0.750 0.750 0.750
Br 0.250 0.250 0.250
Br 0.250 0.750 0.750
Br 0.750 0.250 0.750
Br 0.750 0.750 0.250



No. 10
Below is ZnRhBr after structural relaxation, with properties calculated at the PBE level.

Output
The energy relative to the elements, uncorrected comes out at 0.2371 eV/atom. The value obtained for the theoretical density is 7.4 g cm⁻³. The calculation puts the energy above the lowest structure with this stoichiometry at 0.112 eV per atom. Its energy is -3.196 eV per atom.

Unit cell a=3.284 b=5.598 c=12.172 alpha=90.00 beta=90.00 gamma=90.00
Element x y z (fractional)
Zn 0.000 0.000 0.000
Zn 0.000 0.500 0.500
Zn 0.500 0.000 0.500
Zn 0.500 0.500 0.000
Rh 0.000 0.000 0.347
Rh 0.000 0.500 0.847
Rh 0.500 0.000 0.847
Rh 0.500 0.500 0.347
Br 0.000 0.000 0.675
Br 0.000 0.500 0.175
Br 0.500 0.000 0.175
Br 0.500 0.500 0.675



No. 11
Below is ZnRhBr after structural relaxation, with properties calculated at the PBE level.

Output
The energy relative to the elements, uncorrected comes out at 0.1247 eV/atom. The value obtained for the theoretical density is 7.5 g cm⁻³. The calculation puts the energy above the lowest structure with this stoichiometry at 0.000 eV per atom. Its energy is -3.308 eV per atom.

Unit cell a=3.320 b=3.320 c=5.739 alpha=90.00 beta=90.00 gamma=120.00
Element x y z (fractional)
Zn 0.000 0.000 0.000
Rh 0.333 0.667 0.703
Br 0.667 0.333 0.369



No. 12
Below is Zn2RhBr8 after structural relaxation, with properties calculated at the PBE level.

Output
The energy relative to the elements, uncorrected comes out at -0.5471 eV/atom. The value obtained for the theoretical density is 3.8 g cm⁻³. Its energy is -2.664 eV per atom.

Unit cell a=7.731 b=7.731 c=6.418 alpha=90.55 beta=90.55 gamma=93.79
Element x y z (fractional)
Zn 0.204 0.204 0.076
Zn 0.796 0.796 0.924
Rh 0.000 0.000 0.500
Br 0.067 0.754 0.735
Br 0.209 0.209 0.698
Br 0.246 0.933 0.265
Br 0.424 0.424 0.190
Br 0.576 0.576 0.810
Br 0.754 0.067 0.735
Br 0.791 0.791 0.302
Br 0.933 0.246 0.265



No. 13
Below is ZnRhBr after structural relaxation, with properties calculated at the PBE level.

Output
The energy relative to the elements, uncorrected comes out at 0.2111 eV/atom. The value obtained for the theoretical density is 7.1 g cm⁻³. The calculation puts the energy above the lowest structure with this stoichiometry at 0.086 eV per atom. Its energy is -3.222 eV per atom.

Unit cell a=6.147 b=6.147 c=6.147 alpha=90.00 beta=90.00 gamma=90.00
Element x y z (fractional)
Zn 0.000 0.000 0.000
Zn 0.000 0.500 0.500
Zn 0.500 0.000 0.500
Zn 0.500 0.500 0.000
Rh 0.250 0.250 0.750
Rh 0.250 0.750 0.250
Rh 0.750 0.250 0.250
Rh 0.750 0.750 0.750
Br 0.000 0.000 0.500
Br 0.000 0.500 0.000
Br 0.500 0.000 0.000
Br 0.500 0.500 0.500



No. 14
Below is ZnRhBr after structural relaxation, with properties calculated at the PBE level.

Output
The energy relative to the elements, uncorrected comes out at 0.1599 eV/atom. The value obtained for the theoretical density is 7.3 g cm⁻³. The calculation puts the energy above the lowest structure with this stoichiometry at 0.035 eV per atom. Its energy is -3.273 eV per atom.

Unit cell a=3.127 b=3.127 c=11.475 alpha=90.00 beta=90.00 gamma=90.00
Element x y z (fractional)
Zn 0.000 0.000 0.000
Zn 0.500 0.500 0.500
Rh 0.000 0.000 0.616
Rh 0.500 0.500 0.116
Br 0.000 0.000 0.277
Br 0.500 0.500 0.777



No. 15
Below is ZrZn2RhBr after structural relaxation, with properties calculated at the PBE level.

Output
The energy relative to the elements, uncorrected comes out at 0.9079 eV/atom. The value obtained for the theoretical density is 6.2 g cm⁻³. Its energy is -3.116 eV per atom.

Unit cell a=4.837 b=4.837 c=4.665 alpha=90.00 beta=90.00 gamma=90.00
Element x y z (fractional)
Zr 0.000 0.000 0.000
Zn 0.000 0.500 0.500
Zn 0.500 0.000 0.500
Rh 0.500 0.500 0.000
Br 0.500 0.500 0.500



No. 16
Below is ZrRhBr after structural relaxation, with properties calculated at the PBE level.

Output
The energy relative to the elements, uncorrected comes out at -0.1159 eV/atom. The value obtained for the theoretical density is 6.8 g cm⁻³. The calculation puts the energy above the lowest structure with this stoichiometry at 0.484 eV per atom. Its energy is -5.973 eV per atom.

Unit cell a=6.429 b=6.429 c=6.429 alpha=90.00 beta=90.00 gamma=90.00
Element x y z (fractional)
Zr 0.000 0.000 0.000
Zr 0.000 0.500 0.500
Zr 0.500 0.000 0.500
Zr 0.500 0.500 0.000
Rh 0.250 0.250 0.750
Rh 0.250 0.750 0.250
Rh 0.750 0.250 0.250
Rh 0.750 0.750 0.750
Br 0.250 0.250 0.250
Br 0.250 0.750 0.750
Br 0.750 0.250 0.750
Br 0.750 0.750 0.250



No. 17
Below is ZrRhBr after structural relaxation, with properties calculated at the PBE level.

Output
The energy relative to the elements, uncorrected comes out at -0.1989 eV/atom. The value obtained for the theoretical density is 8.1 g cm⁻³. The calculation puts the energy above the lowest structure with this stoichiometry at 0.401 eV per atom. Its energy is -6.056 eV per atom.

Unit cell a=4.535 b=4.535 c=3.170 alpha=90.00 beta=90.00 gamma=120.00
Element x y z (fractional)
Zr 0.000 0.000 0.000
Rh 0.333 0.667 0.490
Br 0.667 0.333 0.238



No. 18
Below is ZrRhBr4 after structural relaxation, with properties calculated at the PBE level.

Output
The energy relative to the elements, uncorrected comes out at 0.9910 eV/atom. The value obtained for the theoretical density is 5.7 g cm⁻³. Its energy is -2.774 eV per atom.

Unit cell a=5.969 b=5.969 c=5.969 alpha=60.00 beta=60.00 gamma=60.00
Element x y z (fractional)
Zr 0.000 0.000 0.000
Rh 0.250 0.250 0.250
Br 0.126 0.625 0.625
Br 0.625 0.126 0.625
Br 0.625 0.625 0.126
Br 0.625 0.625 0.625



No. 19
Below is ZrRhBr after structural relaxation, with properties calculated at the PBE level.

Output
The energy relative to the elements, uncorrected comes out at -0.5998 eV/atom. The value obtained for the theoretical density is 6.5 g cm⁻³. The calculation puts the energy above the lowest structure with this stoichiometry at 0.000 eV per atom. Its energy is -6.457 eV per atom.

Unit cell a=3.597 b=3.597 c=6.218 alpha=90.00 beta=90.00 gamma=120.00
Element x y z (fractional)
Zr 0.000 0.000 0.000
Rh 0.333 0.667 0.758
Br 0.667 0.333 0.331



No. 20
Below is ZrRh2Br after structural relaxation, with properties calculated at the PBE level.

Output
The energy relative to the elements, uncorrected comes out at -0.3677 eV/atom. The value obtained for the theoretical density is 7.8 g cm⁻³. The calculation puts the energy above the lowest structure with this stoichiometry at 0.000 eV per atom. Its energy is -6.599 eV per atom.

Unit cell a=3.454 b=3.209 c=7.253 alpha=90.00 beta=90.37 gamma=90.00
Element x y z (fractional)
Zr 0.000 0.000 0.000
Rh 0.498 0.500 0.802
Rh 0.502 0.500 0.198
Br 0.500 0.000 0.500